A geometry-optimized LaCe2Nd structure, computed with PBE-GGA.

As for the polymorph energy (0 for the lowest one): 0.000 eV per atom. The value obtained for the total energy is -5.2779 eV per atom. The value obtained for the energy relative to the elements is 11 kJ per mole of atoms.

The structure belongs to space group P4/mmm (No. 123); the cell edges are 4.981, 4.981 and 5.115 Å and the angles 90.00°, 90.00° and 90.00°. The distinct sites, in fractional coordinates, are La at (0.000, 0.000, 0.000), Ce at (0.000, 0.500, 0.500) and Nd at (0.500, 0.500, 0.000).

A geometry-optimized La4CeNd structure, computed with PBE-GGA.

The value obtained for the total energy is -4.8938 eV per atom. The value obtained for the energy relative to the elements is 17 kJ per mole of atoms.

The structure belongs to space group C2/m (No. 12); the cell edges are 11.690, 3.515 and 11.674 Å and the angles 90.00°, 118.47° and 90.00°. The distinct sites, in fractional coordinates, are La at (0.158, 0.000, 0.333), La at (0.161, 0.500, 0.846), Ce at (0.000, 0.000, 0.000) and Nd at (0.000, 0.500, 0.500).

A geometry-optimized LaCe2Nd structure, computed with PBE-GGA.

As for the polymorph energy (0 for the lowest one): 0.157 eV per atom. The value obtained for the total energy is -5.1206 eV per atom. The value obtained for the energy relative to the elements is 26 kJ per mole of atoms.

The structure belongs to space group Fm-3m (No. 225); the cell edges are 8.145, 8.145 and 8.145 Å and the angles 90.00°, 90.00° and 90.00°. The distinct sites, in fractional coordinates, are La at (0.000, 0.000, 0.000), Ce at (0.250, 0.250, 0.250) and Nd at (0.000, 0.000, 0.500).

A geometry-optimized La6CeNd7 structure, computed with PBE-GGA.

The value obtained for the total energy is -4.8862 eV per atom. The value obtained for the energy relative to the elements is 3 kJ per mole of atoms.

The structure belongs to space group R3 (No. 146, hexagonal axes); the cell edges are 9.7778, 9.7778 and 18.1051 Å and the angles 90.00°, 90.00° and 120.00°. The distinct sites, in fractional coordinates, are La at (0.1413, 0.7185, 0.0000), La at (0.1451, 0.7137, 0.5020), Ce at (0.0000, 0.0000, 0.9992), Nd at (0.0000, 0.0000, 0.5001), Nd at (0.0466, 0.2352, 0.1649) and Nd at (0.0498, 0.2411, 0.6662).

A geometry-optimized La2CeNd8 structure, computed with PBE-GGA.

The value obtained for the total energy is -4.7897 eV per atom. The value obtained for the energy relative to the elements is 11 kJ per mole of atoms.

The structure belongs to space group Immm (No. 71); the cell edges are 5.769, 8.305 and 16.272 Å and the angles 90.00°, 90.00° and 90.00°. The distinct sites, in fractional coordinates, are La at (0.000, 0.000, 0.200), Ce at (0.000, 0.000, 0.500), Nd at (0.000, 0.212, 0.000), Nd at (0.000, 0.290, 0.367) and Nd at (0.000, 0.500, 0.159).

A geometry-optimized LaCeNd structure, computed with PBE-GGA.

As for the polymorph energy (0 for the lowest one): 0.158 eV per atom. The value obtained for the total energy is -4.9938 eV per atom. The value obtained for the energy relative to the elements is 21 kJ per mole of atoms.

The structure belongs to space group Pmma (No. 51); the cell edges are 6.644, 3.446 and 8.626 Å and the angles 90.00°, 90.00° and 90.00°. The distinct sites, in fractional coordinates, are La at (0.250, 0.000, 0.155), Ce at (0.250, 0.500, 0.847) and Nd at (0.000, 0.500, 0.500).

A geometry-optimized La4CeNd8 structure, computed with PBE-GGA.

The value obtained for the total energy is -4.5357 eV per atom. The value obtained for the energy relative to the elements is 36 kJ per mole of atoms.

The structure belongs to space group R-3m (No. 166, hexagonal axes); the cell edges are 11.9439, 11.9439 and 11.6932 Å and the angles 90.00°, 90.00° and 120.00°. The distinct sites, in fractional coordinates, are La at (0.0000, 0.0000, 0.0000), La at (0.0000, 0.5000, 0.0000), Ce at (0.0000, 0.0000, 0.5000), Nd at (0.0000, 0.0000, 0.2442) and Nd at (0.0030, 0.5015, 0.6662).

A geometry-optimized La8CeNd3 structure, computed with PBE-GGA.

The value obtained for the total energy is -4.5354 eV per atom. The value obtained for the energy relative to the elements is 42 kJ per mole of atoms.

The structure belongs to space group I-42m (No. 121); the cell edges are 8.893, 8.893 and 11.684 Å and the angles 90.00°, 90.00° and 90.00°. The distinct sites, in fractional coordinates, are La at (0.119, 0.119, 0.241), La at (0.234, 0.234, 0.980), Ce at (0.000, 0.000, 0.000), Nd at (0.000, 0.000, 0.500) and Nd at (0.000, 0.500, 0.250).

A geometry-optimized La3CeNd4 structure, computed with PBE-GGA.

The value obtained for the total energy is -4.7719 eV per atom. The value obtained for the energy relative to the elements is 19 kJ per mole of atoms.

The structure belongs to space group C2/m (No. 12); the cell edges are 26.076, 3.506 and 6.236 Å and the angles 90.00°, 95.67° and 90.00°. The distinct sites, in fractional coordinates, are La at (0.000, 0.000, 0.000), La at (0.145, 0.000, 0.231), Ce at (0.000, 0.500, 0.500), Nd at (0.104, 0.000, 0.714) and Nd at (0.221, 0.500, 0.739).

A geometry-optimized La6CeNd2 structure, computed with PBE-GGA.

The value obtained for the total energy is -4.9252 eV per atom. The value obtained for the energy relative to the elements is 8 kJ per mole of atoms.

The structure belongs to space group P-6m2 (No. 187); the cell edges are 3.6794, 3.6794 and 27.6829 Å and the angles 90.00°, 90.00° and 120.00°. The distinct sites, in fractional coordinates, are La at (0.0000, 0.0000, 0.0619), La at (0.0000, 0.0000, 0.2811), La at (0.3333, 0.6667, 0.3958), Ce at (0.0000, 0.0000, 0.5000) and Nd at (0.3333, 0.6667, 0.1701).

A geometry-optimized LaCeNd structure, computed with PBE-GGA.

As for the polymorph energy (0 for the lowest one): 0.067 eV per atom. The value obtained for the total energy is -5.0853 eV per atom. The value obtained for the energy relative to the elements is 12 kJ per mole of atoms.

The structure belongs to space group P3m1 (No. 156); the cell edges are 5.7431, 5.7431 and 3.5548 Å and the angles 90.00°, 90.00° and 120.00°. The distinct sites, in fractional coordinates, are La at (0.0000, 0.0000, 0.0000), Ce at (0.6667, 0.3333, 0.4993) and Nd at (0.3333, 0.6667, 0.5009).

A geometry-optimized LaCeNd structure, computed with PBE-GGA.

As for the polymorph energy (0 for the lowest one): 0.000 eV per atom. The value obtained for the total energy is -5.1521 eV per atom. The value obtained for the energy relative to the elements is 6 kJ per mole of atoms.

The structure belongs to space group I4mm (No. 107); the cell edges are 3.578, 3.578 and 15.358 Å and the angles 90.00°, 90.00° and 90.00°. The distinct sites, in fractional coordinates, are La at (0.000, 0.000, 0.000), Ce at (0.000, 0.000, 0.346) and Nd at (0.000, 0.000, 0.689).